*1*
The following is a GGA-PBE calculation of AcNd4Dy after structural relaxation, from Alexandria.

## Properties
SG   C2/c (15)
N(E_F)   19.74 states/eV per cell
Spin magnetization   0.000 μB per cell

```
AcNd4Dy
1.0
9.0943 0.5011 -2.3887
-4.4817 3.9952 -0.7748
-0.1752 1.8840 10.5621
Ac Nd Dy
2 8 2
Direct
0.4469 0.1969 0.8938
0.5531 0.8031 0.1062
0.4538 0.7037 0.4185
0.6431 0.8932 0.7713
0.0354 0.7852 0.5815
0.8718 0.6219 0.2287
0.5462 0.2963 0.5815
0.9646 0.2148 0.4185
0.3569 0.1068 0.2287
0.1282 0.3781 0.7713
0.9503 0.7003 0.9005
0.0497 0.2997 0.0995
```

***

*2*
The following is a GGA-PBE calculation of AcNd4Dy after structural relaxation, from Alexandria.

## Properties
SG   Cmcm (63)
N(E_F)   22.77 states/eV per cell
Spin magnetization   0.001 μB per cell

```
AcNd4Dy
1.0
6.8187 -1.4027 0.0000
-1.9408 6.6854 0.0000
0.0000 0.0000 11.8343
Ac Nd Dy
2 8 2
Direct
0.9992 0.9992 0.7500
0.0008 0.0008 0.2500
0.5018 0.0021 0.2500
0.4982 0.9979 0.7500
0.0021 0.5018 0.2500
0.9979 0.4982 0.7500
0.7397 0.7397 0.4999
0.2603 0.2603 0.9999
0.7397 0.7397 0.0001
0.2603 0.2603 0.5001
0.4992 0.4992 0.7500
0.5008 0.5008 0.2500
```

***

Ordering by calculated energy gives the sequence *1*, *2*, with the first entry being the most stable.

***

*1*
The following is a GGA-PBE calculation of Ac2Nd7Dy after structural relaxation, from Alexandria.

## Properties
SG   Cmmm (65)
N(E_F)   16.20 states/eV per cell
Spin magnetization   0.000 μB per cell

```
Ac2Nd7Dy
1.0
-2.1175 1.5452 2.4835
2.2905 -12.0105 9.4257
3.2628 13.9021 -5.8678
Ac Nd Dy
2 7 1
Direct
0.5000 0.7054 0.2946
0.5000 0.2946 0.7054
0.0000 0.8166 0.1834
0.0000 0.1834 0.8166
0.5000 0.1468 0.3379
0.5000 0.8532 0.6621
0.5000 0.3379 0.1468
0.5000 0.6621 0.8532
0.5000 0.5000 0.5000
0.0000 0.0000 0.0000
```

***

*2*
The following is a GGA-PBE calculation of Ac2Nd7Dy after structural relaxation, from Alexandria.

## Properties
SG   Cmmm (65)
N(E_F)   16.08 states/eV per cell
Spin magnetization   0.000 μB per cell

```
Ac2Nd7Dy
1.0
-0.7230 -3.0686 -1.8070
9.8157 0.2346 -4.3255
0.2719 -5.4899 9.2140
Ac Nd Dy
2 7 1
Direct
0.5000 0.8256 0.1744
0.5000 0.1744 0.8256
0.0000 0.6632 0.3368
0.0000 0.3368 0.6632
0.5000 0.1422 0.3755
0.5000 0.8578 0.6245
0.5000 0.3755 0.1422
0.5000 0.6245 0.8578
0.5000 0.5000 0.5000
0.0000 0.0000 0.0000
```

***

Ordering by calculated energy gives the sequence *1*, *2*, with the first entry being the most stable.

***

*1*
The following is a GGA-PBE calculation of Ac2Nd4Dy after structural relaxation, from Alexandria.

## Properties
SG   I4/mmm (139)
N(E_F)   11.19 states/eV per cell
Spin magnetization   0.716 μB per cell

```
Ac2Nd4Dy
1.0
5.7347 0.0000 0.0000
0.0000 5.7347 0.0000
-2.8674 -2.8674 9.1776
Ac Nd Dy
2 4 1
Direct
0.6276 0.6276 0.2552
0.3724 0.3724 0.7448
0.8255 0.8255 0.6509
0.1745 0.1745 0.3491
0.0000 0.5000 0.0000
0.5000 0.0000 0.0000
0.0000 0.0000 0.0000
```

***

*2*
The following is a GGA-PBE calculation of Ac2Nd4Dy after structural relaxation, from Alexandria.

## Properties
SG   C2/m (12)
N(E_F)   13.07 states/eV per cell
Spin magnetization   0.000 μB per cell

```
Ac2Nd4Dy
1.0
6.1705 0.0000 0.0000
3.0852 4.8592 -1.1733
0.0000 -2.2347 9.2347
Ac Nd Dy
2 4 1
Direct
0.7193 0.5613 0.8586
0.2807 0.4387 0.1414
0.4440 0.1119 0.7021
0.1445 0.7109 0.5798
0.5560 0.8881 0.2979
0.8555 0.2891 0.4202
0.0000 0.0000 0.0000
```

***

Ordering by calculated energy gives the sequence *2*, *1*, with the first entry being the most stable.

***

*1*
The following is a GGA-PBE calculation of AcNd2Dy4 after structural relaxation, from Alexandria.

## Properties
SG   Cmmm (65)
N(E_F)   20.32 states/eV per cell
Spin magnetization   0.000 μB per cell

```
AcNd2Dy4
1.0
6.9806 0.8010 0.0000
-2.7216 6.4779 0.0000
0.0000 0.0000 10.8395
Ac Nd Dy
2 4 8
Direct
0.5000 0.5000 0.2500
0.5000 0.5000 0.7500
0.2846 0.7145 0.0000
0.7154 0.2855 0.0000
0.2855 0.7154 0.5000
0.7145 0.2846 0.5000
0.7942 0.7945 0.0000
0.2058 0.2055 0.0000
0.2055 0.2058 0.5000
0.7945 0.7942 0.5000
0.5000 0.0000 0.2497
0.0000 0.5000 0.2503
0.5000 0.0000 0.7503
0.0000 0.5000 0.7497
```

***

*2*
The following is a GGA-PBE calculation of AcNd2Dy4 after structural relaxation, from Alexandria.

## Properties
SG   I4/mmm (139)
N(E_F)   12.64 states/eV per cell
Spin magnetization   0.000 μB per cell

```
AcNd2Dy4
1.0
-4.7529 -4.9961 0.9594
5.2824 -3.4079 -2.9924
0.4451 2.9735 6.2794
Ac Nd Dy
1 2 4
Direct
0.0000 0.0000 0.0000
0.5000 0.2500 0.7500
0.5000 0.7500 0.2500
0.0000 0.3041 0.6959
0.0000 0.6959 0.3041
0.6081 0.3041 0.3041
0.3919 0.6959 0.6959
```

***

Ordering by calculated energy gives the sequence *2*, *1*, with the first entry being the most stable.

***

*1*
The following is a GGA-PBE calculation of Ac4NdDy after structural relaxation, from Alexandria.

## Properties
SG   Cmmm (65)
N(E_F)   11.06 states/eV per cell
Spin magnetization   0.000 μB per cell

```
Ac4NdDy
1.0
1.4144 -8.4234 -0.4162
6.2627 -5.8183 0.2310
-0.5353 -0.3602 5.4598
Ac Nd Dy
4 1 1
Direct
0.3387 0.3387 0.9999
0.6613 0.6613 0.0001
0.8395 0.8395 0.4998
0.1605 0.1605 0.5002
0.5000 0.5000 0.5000
0.0000 0.0000 0.0000
```

***

*2*
The following is a GGA-PBE calculation of Ac4NdDy after structural relaxation, from Alexandria.

## Properties
SG   F-43m (216)
N(E_F)   9.58 states/eV per cell
Spin magnetization   0.000 μB per cell

```
Ac4NdDy
1.0
-6.9915 -0.1311 1.5189
-4.7738 -1.1096 -5.2139
-3.6096 -6.1717 -0.2920
Ac Nd Dy
4 1 1
Direct
0.6256 0.6256 0.1233
0.6256 0.1233 0.6256
0.6256 0.6256 0.6256
0.1233 0.6256 0.6256
0.2500 0.2500 0.2500
0.0000 0.0000 0.0000
```

***

Ordering by calculated energy gives the sequence *1*, *2*, with the first entry being the most stable.

***

*1*
The following is a GGA-PBE calculation of AcNd12Dy6 after structural relaxation, from Alexandria.

## Properties
SG   R-3m (166)
N(E_F)   36.62 states/eV per cell
Spin magnetization   0.000 μB per cell

```
AcNd12Dy6
1.0
8.8306 -0.2207 -1.2698
-1.4339 8.7162 -1.2698
-0.1922 -0.2207 8.9194
Ac Nd Dy
1 12 6
Direct
0.0000 0.0000 0.0000
0.7592 0.2408 0.5000
0.3536 0.0804 0.3536
0.3536 0.3536 0.0804
0.9196 0.6464 0.6464
0.6464 0.6464 0.9196
0.6464 0.9196 0.6464
0.5000 0.7592 0.2408
0.2408 0.5000 0.7592
0.2408 0.7592 0.5000
0.5000 0.2408 0.7592
0.7592 0.5000 0.2408
0.0804 0.3536 0.3536
0.8981 0.3424 0.8981
0.8981 0.8981 0.3424
0.3424 0.8981 0.8981
0.1019 0.1019 0.6576
0.1019 0.6576 0.1019
0.6576 0.1019 0.1019
```

***

*2*
The following is a GGA-PBE calculation of AcNd12Dy6 after structural relaxation, from Alexandria.

## Properties
SG   R-3 (148)
N(E_F)   30.75 states/eV per cell
Spin magnetization   0.000 μB per cell

```
AcNd12Dy6
1.0
8.6765 0.7165 0.8584
-0.6071 8.6849 0.8584
-0.6071 -0.7074 8.6985
Ac Nd Dy
1 12 6
Direct
0.0000 0.0000 0.0000
0.7784 0.5392 0.4302
0.4302 0.7784 0.5392
0.5392 0.4302 0.7784
0.2216 0.4608 0.5698
0.5698 0.2216 0.4608
0.4608 0.5698 0.2216
0.0148 0.2013 0.3632
0.7987 0.6368 0.9852
0.6368 0.9852 0.7987
0.9852 0.7987 0.6368
0.2013 0.3632 0.0148
0.3632 0.0148 0.2013
0.7401 0.9008 0.3058
0.6942 0.2599 0.0992
0.0992 0.6942 0.2599
0.2599 0.0992 0.6942
0.3058 0.7401 0.9008
0.9008 0.3058 0.7401
```

***

Ordering by calculated energy gives the sequence *2*, *1*, with the first entry being the most stable.

***

*1*
The following is a GGA-PBE calculation of AcNd12Dy7 after structural relaxation, from Alexandria.

## Properties
SG   Im-3 (204)
N(E_F)   30.03 states/eV per cell
Spin magnetization   0.000 μB per cell

```
AcNd12Dy7
1.0
-8.0526 -1.7189 5.8425
7.5306 -6.1328 2.7592
2.9276 9.6057 1.0456
Ac Nd Dy
1 12 7
Direct
0.0000 0.0000 0.0000
0.4790 0.7379 0.7411
0.9968 0.7379 0.2589
0.5210 0.2621 0.2589
0.0032 0.2621 0.7411
0.7411 0.0032 0.2621
0.7411 0.4790 0.7379
0.2589 0.9968 0.7379
0.2589 0.5210 0.2621
0.7379 0.7411 0.4790
0.2621 0.2589 0.5210
0.7379 0.2589 0.9968
0.2621 0.7411 0.0032
0.5000 0.5000 0.0000
0.0000 0.5000 0.5000
0.5000 0.0000 0.5000
0.5000 0.5000 0.5000
0.0000 0.0000 0.5000
0.5000 0.0000 0.0000
0.0000 0.5000 0.0000
```

***

*2*
The following is a GGA-PBE calculation of AcNd12Dy7 after structural relaxation, from Alexandria.

## Properties
SG   R-3 (148)
N(E_F)   33.38 states/eV per cell
Spin magnetization   0.000 μB per cell

```
AcNd12Dy7
1.0
8.6281 1.1373 1.7070
-1.3067 8.6041 1.7070
-1.3067 -1.7386 8.5978
Ac Nd Dy
1 12 7
Direct
0.0000 0.0000 0.0000
0.8644 0.2798 0.7254
0.7202 0.2746 0.1356
0.6267 0.1425 0.4972
0.8575 0.5028 0.3733
0.2746 0.1356 0.7202
0.5028 0.3733 0.8575
0.4972 0.6267 0.1425
0.7254 0.8644 0.2798
0.1425 0.4972 0.6267
0.3733 0.8575 0.5028
0.2798 0.7254 0.8644
0.1356 0.7202 0.2746
0.8457 0.6128 0.9395
0.3872 0.0605 0.1543
0.0605 0.1543 0.3872
0.5000 0.5000 0.5000
0.9395 0.8457 0.6128
0.6128 0.9395 0.8457
0.1543 0.3872 0.0605
```

***

Ordering by calculated energy gives the sequence *2*, *1*, with the first entry being the most stable.

***

*1*
The following is a GGA-PBE calculation of AcPmNdDy after structural relaxation, from Alexandria.

## Properties
SG   F-43m (216)
N(E_F)   8.95 states/eV per cell
Spin magnetization   0.000 μB per cell

```
AcPmNdDy
1.0
5.9093 0.0000 0.0000
2.9546 5.1176 0.0000
2.9546 1.7059 4.8249
Ac Pm Nd Dy
1 1 1 1
Direct
0.0000 0.0000 0.0000
0.5000 0.5000 0.5000
0.2500 0.2500 0.2500
0.7500 0.7500 0.7500
```

***

*2*
The following is a GGA-PBE calculation of AcPmNdDy after structural relaxation, from Alexandria.

## Properties
SG   Imm2 (44)
N(E_F)   6.91 states/eV per cell
Spin magnetization   0.000 μB per cell

```
AcPmNdDy
1.0
-2.9225 3.8448 2.0624
-4.2644 -1.9617 -2.3858
2.6164 -3.9462 4.3786
Ac Pm Nd Dy
1 1 1 1
Direct
0.4455 0.4455 0.8910
0.6953 0.1953 0.3907
0.1959 0.6959 0.3918
0.9455 0.9455 0.8909
```

***

Ordering by calculated energy gives the sequence *2*, *1*, with the first entry being the most stable.

***

*1*
The following is a GGA-PBE calculation of AcNdSmDy after structural relaxation, from Alexandria.

## Properties
SG   F-43m (216)
N(E_F)   10.79 states/eV per cell
Spin magnetization   0.014 μB per cell

```
AcNdSmDy
1.0
5.9089 0.0000 0.0000
2.9545 5.1173 0.0000
2.9545 1.7058 4.8246
Ac Nd Sm Dy
1 1 1 1
Direct
0.0000 0.0000 0.0000
0.2500 0.2500 0.2500
0.7500 0.7500 0.7500
0.5000 0.5000 0.5000
```

***

*2*
The following is a GGA-PBE calculation of AcNdSmDy after structural relaxation, from Alexandria.

## Properties
SG   Imm2 (44)
N(E_F)   6.84 states/eV per cell
Spin magnetization   0.000 μB per cell

```
AcNdSmDy
1.0
-1.9785 -0.8423 -4.7867
1.3687 -5.0659 0.3257
-4.3679 1.8284 4.3600
Ac Nd Sm Dy
1 1 1 1
Direct
0.4455 0.4455 0.8911
0.1958 0.6958 0.3917
0.6953 0.1953 0.3906
0.9455 0.9455 0.8911
```

***

Ordering by calculated energy gives the sequence *2*, *1*, with the first entry being the most stable.

***

*1*
The following is a GGA-PBE calculation of AcTbNdDy after structural relaxation, from Alexandria.

## Properties
SG   Cm (8)
N(E_F)   5.15 states/eV per cell
Spin magnetization   0.000 μB per cell

```
AcTbNdDy
1.0
-3.3678 0.6183 -1.4216
1.4992 -3.3818 -0.1966
-3.2339 -2.1054 11.5686
Ac Tb Nd Dy
1 1 1 1
Direct
0.9651 0.3807 0.3624
0.3037 0.5497 0.8712
0.4783 0.1369 0.6297
0.1307 0.9635 0.1064
```

***

*2*
The following is a GGA-PBE calculation of AcTbNdDy after structural relaxation, from Alexandria.

## Properties
SG   F-43m (216)
N(E_F)   7.49 states/eV per cell
Spin magnetization   0.000 μB per cell

```
AcTbNdDy
1.0
-4.1666 3.4971 -2.2230
-1.1523 -0.0981 -5.7615
-5.0406 -2.3075 -1.9494
Nd Ac Tb Dy
1 1 1 1
Direct
0.5000 0.5000 0.5000
0.0000 0.0000 0.0000
0.7500 0.7500 0.7500
0.2500 0.2500 0.2500
```

***

Ordering by calculated energy gives the sequence *1*, *2*, with the first entry being the most stable.

***

*1*
The following is a GGA-PBE calculation of AcNdDyY after structural relaxation, from Alexandria.

## Properties
SG   Cm (8)
N(E_F)   5.31 states/eV per cell
Spin magnetization   0.000 μB per cell

```
AcNdDyY
1.0
-2.5372 -2.3924 -1.2739
3.2412 -1.2530 1.2984
-4.1264 1.1652 11.4225
Ac Nd Dy Y
1 1 1 1
Direct
0.9655 0.3809 0.3632
0.4787 0.1371 0.6304
0.3030 0.5494 0.8701
0.1306 0.9634 0.1060
```

***

*2*
The following is a GGA-PBE calculation of AcNdDyY after structural relaxation, from Alexandria.

## Properties
SG   F-43m (216)
N(E_F)   7.38 states/eV per cell
Spin magnetization   0.000 μB per cell

```
AcNdDyY
1.0
-1.9757 -4.1529 -3.6710
2.7720 -0.9823 -5.0968
3.0791 -4.9555 -0.7672
Y Ac Nd Dy
1 1 1 1
Direct
0.7500 0.7500 0.7500
0.5000 0.5000 0.5000
0.0000 0.0000 0.0000
0.2500 0.2500 0.2500
```

***

Ordering by calculated energy gives the sequence *1*, *2*, with the first entry being the most stable.

***

*1*
The following is a GGA-PBE calculation of AcNdDyZn after structural relaxation, from Alexandria.

## Properties
SG   P4mm (99)
N(E_F)   5.93 states/eV per cell
Spin magnetization   0.001 μB per cell

```
AcNdDyZn
1.0
-0.5005 0.7402 3.6074
-3.5077 -1.2043 -0.2396
2.7156 -8.3245 2.0848
Ac Nd Dy Zn
1 1 1 1
Direct
0.0000 0.0000 0.0630
0.5000 0.5000 0.3749
0.5000 0.5000 0.7639
0.0000 0.0000 0.5829
```

***

*2*
The following is a GGA-PBE calculation of AcNdDyZn after structural relaxation, from Alexandria.

## Properties
SG   F-43m (216)
N(E_F)   6.30 states/eV per cell
Spin magnetization   0.000 μB per cell

```
AcNdDyZn
1.0
-5.4374 0.0197 1.2858
-3.8301 -0.3743 -4.0509
-3.0214 -4.6659 -0.5656
Ac Nd Zn Dy
1 1 1 1
Direct
0.2500 0.2500 0.2500
0.0000 0.0000 0.0000
0.7500 0.7500 0.7500
0.5000 0.5000 0.5000
```

***

Ordering by calculated energy gives the sequence *1*, *2*, with the first entry being the most stable.